(1)
DFT (GGA-PBE) results for crystalline RbSmTcN3 at its relaxed geometry.

```
data_RbSmTcN3
_space_group_name_H-M_alt 'C 1 2/m 1'
_space_group_IT_number 12
_cell_length_a 13.712
_cell_length_b 3.919
_cell_length_c 8.170
_cell_angle_alpha 90.00
_cell_angle_beta 104.60
_cell_angle_gamma 90.00
loop_
_space_group_symop_operation_xyz
'x,y,z'
'-x,-y,-z'
'-x,y,-z'
'x,-y,z'
'x+1/2,y+1/2,z'
'-x+1/2,-y+1/2,-z'
'-x+1/2,y+1/2,-z'
'x+1/2,-y+1/2,z'
loop_
_atom_site_label
_atom_site_type_symbol
_atom_site_fract_x
_atom_site_fract_y
_atom_site_fract_z
_atom_site_occupancy
Rb1 Rb 0.140 0.000 0.071 1
Sm1 Sm 0.161 0.000 0.575 1
Tc1 Tc 0.004 0.500 0.336 1
N1 N 0.011 0.000 0.336 1
N2 N 0.131 0.500 0.778 1
N3 N 0.159 0.500 0.383 1
```

Properties
E_form (uncorrected) ... -0.411 eV/atom
Fermi-level density of states ... 9.3 states/eV/cell
Total energy ... -173.98 eV/cell

***

(2)
DFT (GGA-PBE) results for crystalline RbSm2Tc2N6 at its relaxed geometry.

```
data_RbSm2Tc2N6
_space_group_name_H-M_alt 'P -1'
_space_group_IT_number 2
_cell_length_a 6.355
_cell_length_b 6.731
_cell_length_c 6.882
_cell_angle_alpha 95.31
_cell_angle_beta 115.38
_cell_angle_gamma 116.19
loop_
_space_group_symop_operation_xyz
'x,y,z'
'-x,-y,-z'
loop_
_atom_site_label
_atom_site_type_symbol
_atom_site_fract_x
_atom_site_fract_y
_atom_site_fract_z
_atom_site_occupancy
Rb1 Rb 0.000 0.000 0.000 1
Sm1 Sm 0.353 0.673 0.288 1
Tc1 Tc 0.231 0.657 0.684 1
N1 N 0.146 0.651 0.908 1
N2 N 0.321 0.914 0.604 1
N3 N 0.445 0.551 0.691 1
```

Properties
E_form (uncorrected) ... -0.463 eV/atom
Fermi-level density of states ... 3.8 states/eV/cell
Total energy ... -86.19 eV/cell

***

(3)
DFT (GGA-PBE) results for crystalline Rb3SrN at its relaxed geometry.

```
data_Rb3SrN
_space_group_name_H-M_alt 'P m -3 m'
_space_group_IT_number 221
_space_group_name_Hall '-P 4 2 3'
_cell_length_a 6.255
_cell_length_b 6.255
_cell_length_c 6.255
_cell_angle_alpha 90.00
_cell_angle_beta 90.00
_cell_angle_gamma 90.00
loop_
_atom_site_label
_atom_site_type_symbol
_atom_site_fract_x
_atom_site_fract_y
_atom_site_fract_z
_atom_site_occupancy
Rb1 Rb 0.000 0.000 0.500 1
Sr1 Sr 0.500 0.500 0.500 1
N1 N 0.000 0.000 0.000 1
```

Properties
E_form (uncorrected) ... 0.667 eV/atom
E above lowest polymorph ... 0.000 eV per atom
Fermi-level density of states ... 4.5 states/eV/cell
Total energy ... -9.58 eV/cell

***

(4)
DFT (GGA-PBE) results for crystalline Rb2Sr4N at its relaxed geometry.

```
data_Rb2Sr4N
_space_group_name_H-M_alt 'I 4/m m m'
_space_group_IT_number 139
_space_group_name_Hall '-I 4 2'
_cell_length_a 5.419
_cell_length_b 5.419
_cell_length_c 25.606
_cell_angle_alpha 90.00
_cell_angle_beta 90.00
_cell_angle_gamma 90.00
loop_
_atom_site_label
_atom_site_type_symbol
_atom_site_fract_x
_atom_site_fract_y
_atom_site_fract_z
_atom_site_occupancy
Rb1 Rb 0.000 0.000 0.190 1
Sr1 Sr 0.000 0.000 0.401 1
Sr2 Sr 0.000 0.500 0.000 1
N1 N 0.000 0.000 0.500 1
```

Properties
E_form (uncorrected) ... -0.090 eV/atom
Fermi-level density of states ... 12.8 states/eV/cell
Total energy ... -35.24 eV/cell

***

(5)
DFT (GGA-PBE) results for crystalline Rb3SrN at its relaxed geometry.

```
data_Rb3SrN
_space_group_name_H-M_alt 'P m -3 m'
_space_group_IT_number 221
_space_group_name_Hall '-P 4 2 3'
_cell_length_a 8.523
_cell_length_b 8.523
_cell_length_c 8.523
_cell_angle_alpha 90.00
_cell_angle_beta 90.00
_cell_angle_gamma 90.00
loop_
_atom_site_label
_atom_site_type_symbol
_atom_site_fract_x
_atom_site_fract_y
_atom_site_fract_z
_atom_site_occupancy
Rb1 Rb 0.000 0.000 0.500 1
Sr1 Sr 0.000 0.000 0.000 1
N1 N 0.500 0.500 0.500 1
```

Properties
E_form (uncorrected) ... 1.326 eV/atom
E above lowest polymorph ... 0.660 eV per atom
Fermi-level density of states ... 7.7 states/eV/cell
Total energy ... -6.28 eV/cell

***

(6)
DFT (GGA-PBE) results for crystalline RbSrTcN3 at its relaxed geometry.

```
data_RbSrTcN3
_space_group_name_H-M_alt 'C 1 2/m 1'
_space_group_IT_number 12
_cell_length_a 14.025
_cell_length_b 3.897
_cell_length_c 8.675
_cell_angle_alpha 90.00
_cell_angle_beta 105.29
_cell_angle_gamma 90.00
loop_
_space_group_symop_operation_xyz
'x,y,z'
'-x,-y,-z'
'-x,y,-z'
'x,-y,z'
'x+1/2,y+1/2,z'
'-x+1/2,-y+1/2,-z'
'-x+1/2,y+1/2,-z'
'x+1/2,-y+1/2,z'
loop_
_atom_site_label
_atom_site_type_symbol
_atom_site_fract_x
_atom_site_fract_y
_atom_site_fract_z
_atom_site_occupancy
Rb1 Rb 0.134 0.000 0.065 1
Sr1 Sr 0.168 0.000 0.607 1
Tc1 Tc 0.011 0.500 0.341 1
N1 N 0.013 0.000 0.360 1
N2 N 0.114 0.500 0.795 1
N3 N 0.144 0.500 0.334 1
```

Properties
E_form (uncorrected) ... -0.112 eV/atom
Fermi-level density of states ... 5.0 states/eV/cell
Total energy ... -154.65 eV/cell